A geometry-optimized Zn2NiSb structure. Source: Alexandria, functional PBE.

Computed properties:
Raw formation energy ... 0.1040 eV/atom
Total moment ... 0.0 μB/cell

The structure in POSCAR format:
```
Zn2NiSb
1.0
-2.0116 2.0116 4.0286
2.0116 -2.0116 4.0286
2.0116 2.0116 -4.0286
Zn Ni Sb
2 1 1
Direct
0.0000 0.0000 0.0000 Zn
0.7500 0.2500 0.5000 Zn
0.2500 0.7500 0.5000 Ni
0.5000 0.5000 0.0000 Sb
```


A geometry-optimized YPuRh structure. Source: Alexandria, functional PBE.

Computed properties:
Total moment ... 11.8 μB/cell
Formation enthalpy at 0 K ... -0.43 eV/atom

The structure in POSCAR format:
```
YPuRh
1.0
4.1780 0.0000 0.0000
0.0000 4.1780 0.0000
0.0000 0.0000 7.9964
Y Pu Rh
2 2 2
Direct
0.2500 0.2500 0.1347 Y
0.7500 0.7500 0.8653 Y
0.2500 0.7500 0.5000 Pu
0.7500 0.2500 0.5000 Pu
0.2500 0.2500 0.7758 Rh
0.7500 0.7500 0.2242 Rh
```


A geometry-optimized Tb3NdHo6Tm2 structure. Source: Alexandria, functional PBE.

Computed properties:
Total moment ... 0.0 μB/cell
Formation enthalpy at 0 K ... 0.02 eV/atom

The structure in POSCAR format:
```
Tb3NdHo6Tm2
1.0
3.0654 -5.3031 0.0000
3.0654 5.3031 0.0000
-2.0331 0.0000 11.5547
Tb Nd Ho Tm
3 1 6 2
Direct
0.0000 0.0000 0.0000 Tb
0.3330 0.6670 0.0000 Tb
0.6670 0.3330 0.0000 Tb
0.5000 0.5000 0.5000 Nd
0.0819 0.4160 0.2500 Ho
0.2496 0.2496 0.7499 Ho
0.4160 0.0819 0.2500 Ho
0.5840 0.9181 0.7500 Ho
0.7504 0.7504 0.2501 Ho
0.9181 0.5840 0.7500 Ho
0.1667 0.8333 0.5000 Tm
0.8333 0.1667 0.5000 Tm
```


A geometry-optimized ZrScTc structure. Source: Alexandria, functional PBE.

Computed properties:
Total moment ... 0.0 μB/cell
Formation enthalpy at 0 K ... 0.03 eV/atom

The structure in POSCAR format:
```
ZrScTc
1.0
-1.6075 2.3049 3.9018
1.6075 -2.3049 3.9018
1.6075 2.3049 -3.9018
Zr Sc Tc
1 1 1
Direct
0.0000 0.0000 0.0000 Zr
0.6569 0.6569 0.0000 Sc
0.3262 0.3262 0.0000 Tc
```


A geometry-optimized Na6Ti6O13 structure. Source: Alexandria, functional PBE.

Computed properties:
Raw formation energy ... -2.3433 eV/atom
Total moment ... 2.5 μB/cell

The structure in POSCAR format:
```
Na6Ti6O13
1.0
8.5624 -2.0115 0.0000
8.5624 2.0115 0.0000
-2.7210 0.0000 9.0639
Na Ti O
6 6 13
Direct
0.0239 0.0239 0.1609 Na
0.0962 0.0962 0.5221 Na
0.4511 0.4511 0.2937 Na
0.5489 0.5489 0.7063 Na
0.9038 0.9038 0.4779 Na
0.9761 0.9761 0.8391 Na
0.2617 0.2617 0.2190 Ti
0.3148 0.3148 0.5885 Ti
0.3744 0.3744 0.9312 Ti
0.6256 0.6256 0.0688 Ti
0.6852 0.6852 0.4115 Ti
0.7383 0.7383 0.7810 Ti
0.1391 0.1391 0.0895 O
0.2003 0.2003 0.4189 O
0.2629 0.2629 0.7678 O
0.3313 0.3313 0.1023 O
0.3480 0.3480 0.4038 O
0.4154 0.4154 0.7183 O
0.5000 0.5000 0.0000 O
0.5846 0.5846 0.2817 O
0.6520 0.6520 0.5962 O
0.6687 0.6687 0.8977 O
0.7371 0.7371 0.2322 O
0.7997 0.7997 0.5811 O
0.8609 0.8609 0.9105 O
```


A geometry-optimized NaSnNO2 structure. Source: Alexandria, functional PBE.

Computed properties:
Raw formation energy ... -0.4058 eV/atom
Total moment ... 2.0 μB/cell

The structure in POSCAR format:
```
NaSnNO2
1.0
4.1162 0.0000 0.0000
0.0000 4.1162 0.0000
0.0000 0.0000 4.2604
Na Sn N O
1 1 1 2
Direct
0.0000 0.0000 0.0000 Na
0.5000 0.5000 0.5000 Sn
0.5000 0.5000 0.0000 N
0.0000 0.5000 0.5000 O
0.5000 0.0000 0.5000 O
```


A geometry-optimized Zr2CuHRu structure. Source: Alexandria, functional PBE.

Computed properties:
DFT total energy ... -7.04 eV/atom
Total moment ... 0.0 μB/cell

The structure in POSCAR format:
```
Zr2CuHRu
1.0
4.5759 0.0000 0.0000
0.0000 4.5759 0.0000
0.0000 0.0000 3.5358
Zr Cu H Ru
2 1 1 1
Direct
0.0000 0.5000 0.0000 Zr
0.5000 0.0000 0.0000 Zr
0.0000 0.0000 0.5000 Cu
0.5000 0.5000 0.0000 H
0.5000 0.5000 0.5000 Ru
```


A geometry-optimized Y3AlN structure. Source: Alexandria, functional PBE.

Computed properties:
Raw formation energy ... -0.4647 eV/atom
Total moment ... 0.0 μB/cell

The structure in POSCAR format:
```
Y3AlN
1.0
3.5983 2.0775 2.7933
-3.5983 2.0775 2.7933
0.0000 -4.1550 2.7933
Y Al N
3 1 1
Direct
0.0090 0.4955 0.4955 Y
0.4955 0.0090 0.4955 Y
0.4955 0.4955 0.0090 Y
0.0064 0.0064 0.0064 Al
0.2391 0.2391 0.2391 N
```


A geometry-optimized ErTm8Th2 structure. Source: Alexandria, functional PBE.

Computed properties:
Total moment ... 0.0 μB/cell
Formation enthalpy at 0 K ... 0.20 eV/atom

The structure in POSCAR format:
```
ErTm8Th2
1.0
4.4651 -7.9296 0.0000
4.4651 7.9296 0.0000
-3.2782 0.0000 4.8824
Er Tm Th
1 8 2
Direct
0.0000 0.0000 0.0000 Er
0.0999 0.3352 0.6774 Tm
0.2081 0.7919 0.0000 Tm
0.3352 0.0999 0.6774 Tm
0.4278 0.4278 0.2038 Tm
0.5722 0.5722 0.7962 Tm
0.6648 0.9001 0.3226 Tm
0.7919 0.2081 0.0000 Tm
0.9001 0.6648 0.3226 Tm
0.3065 0.6935 0.5000 Th
0.6935 0.3065 0.5000 Th
```


A geometry-optimized LiRhSe structure. Source: Alexandria, functional PBE.

Computed properties:
Raw formation energy ... -0.4357 eV/atom
Total moment ... 0.0 μB/cell

The structure in POSCAR format:
```
LiRhSe
1.0
-1.6766 1.6766 4.3418
1.6766 -1.6766 4.3418
1.6766 1.6766 -4.3418
Li Rh Se
1 1 1
Direct
0.0000 0.0000 0.0000 Li
0.7001 0.7001 0.0000 Rh
0.3009 0.3009 0.0000 Se
```


A geometry-optimized P2RhPbCl structure. Source: Alexandria, functional PBE.

Computed properties:
Raw formation energy ... 0.1447 eV/atom
Total moment ... 0.0 μB/cell

The structure in POSCAR format:
```
P2RhPbCl
1.0
4.5469 0.0000 0.0000
0.0000 4.5469 0.0000
0.0000 0.0000 5.4478
P Rh Pb Cl
2 1 1 1
Direct
0.0000 0.5000 0.0000 P
0.5000 0.0000 0.0000 P
0.0000 0.0000 0.0000 Rh
0.5000 0.5000 0.5000 Pb
0.0000 0.0000 0.5000 Cl
```


A geometry-optimized LaNd3Pb2S structure. Source: Alexandria, functional PBE.

Computed properties:
Raw formation energy ... -0.7802 eV/atom
Total moment ... 0.0 μB/cell

The structure in POSCAR format:
```
LaNd3Pb2S
1.0
-2.6524 2.6754 8.3583
2.6524 -2.6754 8.3583
2.6524 2.6754 -8.3583
La Nd Pb S
1 3 2 1
Direct
0.0000 0.0000 0.0000 La
0.3302 0.8302 0.5000 Nd
0.5000 0.5000 0.0000 Nd
0.6698 0.1698 0.5000 Nd
0.1371 0.6371 0.5000 Pb
0.8629 0.3629 0.5000 Pb
0.5000 0.0000 0.5000 S
```


A geometry-optimized Tm3Sb4Rh8 structure. Source: Alexandria, functional PBE.

Computed properties:
Raw formation energy ... -0.7458 eV/atom
Total moment ... 0.0 μB/cell

The structure in POSCAR format:
```
Tm3Sb4Rh8
1.0
0.0000 6.4684 6.4684
6.4684 0.0000 6.4684
6.4684 6.4684 0.0000
Tm Sb Rh
6 8 16
Direct
0.2288 0.2288 0.7712 Tm
0.2288 0.7712 0.2288 Tm
0.2288 0.7712 0.7712 Tm
0.7712 0.2288 0.2288 Tm
0.7712 0.2288 0.7712 Tm
0.7712 0.7712 0.2288 Tm
0.0000 0.0000 0.0000 Sb
0.0000 0.0000 0.5000 Sb
0.0000 0.5000 0.0000 Sb
0.0000 0.5000 0.5000 Sb
0.5000 0.0000 0.0000 Sb
0.5000 0.0000 0.5000 Sb
0.5000 0.5000 0.0000 Sb
0.5000 0.5000 0.5000 Sb
0.1402 0.6199 0.6199 Rh
0.1637 0.1637 0.1637 Rh
0.1637 0.1637 0.5089 Rh
0.1637 0.5089 0.1637 Rh
0.3801 0.3801 0.3801 Rh
0.3801 0.3801 0.8598 Rh
0.3801 0.8598 0.3801 Rh
0.4911 0.8363 0.8363 Rh
0.5089 0.1637 0.1637 Rh
0.6199 0.1402 0.6199 Rh
0.6199 0.6199 0.1402 Rh
0.6199 0.6199 0.6199 Rh
0.8363 0.4911 0.8363 Rh
0.8363 0.8363 0.4911 Rh
0.8363 0.8363 0.8363 Rh
0.8598 0.3801 0.3801 Rh
```


A geometry-optimized Er2TmMg8 structure. Source: Alexandria, functional PBE.

Computed properties:
Total moment ... 0.0 μB/cell
Formation enthalpy at 0 K ... 0.07 eV/atom

The structure in POSCAR format:
```
Er2TmMg8
1.0
-2.6385 3.9111 6.9165
2.6385 -3.9111 6.9165
2.6385 3.9111 -6.9165
Er Tm Mg
2 1 8
Direct
0.2142 0.2142 0.0000 Er
0.7858 0.7858 0.0000 Er
0.5000 0.5000 0.0000 Tm
0.0559 0.3662 0.6898 Mg
0.2054 0.0000 0.2054 Mg
0.3236 0.6338 0.6898 Mg
0.3483 0.8483 0.5000 Mg
0.6517 0.1517 0.5000 Mg
0.6764 0.3662 0.3102 Mg
0.7946 0.0000 0.7946 Mg
0.9441 0.6338 0.3102 Mg
```


A geometry-optimized Sc2MnRe structure. Source: Alexandria, functional PBE.

Computed properties:
Total moment ... 0.0 μB/cell
Formation enthalpy at 0 K ... 0.11 eV/atom

The structure in POSCAR format:
```
Sc2MnRe
1.0
3.0692 0.0000 0.0000
0.0000 4.0657 0.0000
-1.3277 0.0000 5.6063
Sc Mn Re
2 1 1
Direct
0.0000 0.0000 0.0000 Sc
0.2634 0.5000 0.6697 Sc
0.7112 0.5000 0.2419 Mn
0.5891 0.0000 0.4278 Re
```


A geometry-optimized Cr2PRu structure. Source: Alexandria, functional PBE.

Computed properties:
Total moment ... 0.0 μB/cell
Formation enthalpy at 0 K ... 0.09 eV/atom

The structure in POSCAR format:
```
Cr2PRu
1.0
4.1620 0.0000 0.0000
0.0000 4.1620 0.0000
0.0000 0.0000 2.8368
Cr P Ru
2 1 1
Direct
0.0000 0.5000 0.0000 Cr
0.5000 0.0000 0.0000 Cr
0.0000 0.0000 0.5000 P
0.5000 0.5000 0.5000 Ru
```


A geometry-optimized MgFe2AgBr structure. Source: Alexandria, functional PBE.

Computed properties:
Raw formation energy ... 0.9324 eV/atom
Total moment ... 6.8 μB/cell

The structure in POSCAR format:
```
MgFe2AgBr
1.0
4.8976 0.0000 0.0000
0.0000 4.8976 0.0000
0.0000 0.0000 5.1770
Mg Fe Ag Br
1 2 1 1
Direct
0.0000 0.0000 0.0000 Mg
0.0000 0.5000 0.5000 Fe
0.5000 0.0000 0.5000 Fe
0.0000 0.0000 0.5000 Ag
0.5000 0.5000 0.0000 Br
```


A geometry-optimized TlB2H6 structure. Source: Alexandria, functional PBE.

Computed properties:
DFT total energy ... -3.95 eV/atom
Total moment ... 0.0 μB/cell

The structure in POSCAR format:
```
TlB2H6
1.0
4.3963 -5.4621 0.0000
4.3963 5.4621 0.0000
-2.8928 0.0000 5.1826
Tl B H
2 4 12
Direct
0.0572 0.9428 0.7500 Tl
0.9428 0.0572 0.2500 Tl
0.1013 0.4543 0.0753 B
0.4543 0.1013 0.5753 B
0.5457 0.8987 0.4247 B
0.8987 0.5457 0.9247 B
0.1040 0.6408 0.0444 H
0.1600 0.4992 0.3032 H
0.1983 0.3820 0.9558 H
0.3592 0.8960 0.4556 H
0.3820 0.1983 0.4558 H
0.4992 0.1600 0.8032 H
0.5008 0.8400 0.1968 H
0.6180 0.8017 0.5442 H
0.6408 0.1040 0.5444 H
0.8017 0.6180 0.0442 H
0.8400 0.5008 0.6968 H
0.8960 0.3592 0.9556 H
```


A geometry-optimized Pu2Al6Pd structure. Source: Alexandria, functional PBE.

Computed properties:
Total moment ... 11.4 μB/cell
Formation enthalpy at 0 K ... -0.40 eV/atom

The structure in POSCAR format:
```
Pu2Al6Pd
1.0
5.9913 0.0000 0.0000
-2.9957 5.1887 0.0000
0.0000 0.0000 5.5116
Pu Al Pd
2 6 1
Direct
0.3333 0.6667 0.1934 Pu
0.6667 0.3333 0.8066 Pu
0.1759 0.3519 0.6892 Al
0.1759 0.8241 0.6892 Al
0.3519 0.1759 0.3108 Al
0.6481 0.8241 0.6892 Al
0.8241 0.1759 0.3108 Al
0.8241 0.6481 0.3108 Al
0.0000 0.0000 0.0000 Pd
```


A geometry-optimized SmTh2Pd structure. Source: Alexandria, functional PBE.

Computed properties:
Total moment ... 0.0 μB/cell
Formation enthalpy at 0 K ... -0.38 eV/atom

The structure in POSCAR format:
```
SmTh2Pd
1.0
3.7573 0.0000 0.0000
0.0000 10.3083 0.0000
-1.8786 0.0000 5.9572
Sm Th Pd
2 4 2
Direct
0.0801 0.2500 0.1611 Sm
0.9199 0.7500 0.8389 Sm
0.3644 0.0499 0.7285 Th
0.3644 0.4501 0.7285 Th
0.6356 0.5499 0.2715 Th
0.6356 0.9501 0.2715 Th
0.2151 0.7500 0.4303 Pd
0.7849 0.2500 0.5697 Pd
```


| no. | volume (Å³/cell) |
| --- | --- |
| 1 | 65 |
| 2 | 140 |
| 3 | 376 |
| 4 | 58 |
| 5 | 312 |
| 6 | 72 |
| 7 | 74 |
| 8 | 125 |
| 9 | 346 |
| 10 | 49 |
| 11 | 113 |
| 12 | 237 |
| 13 | 541 |
| 14 | 285 |
| 15 | 70 |
| 16 | 49 |
| 17 | 124 |
| 18 | 249 |
| 19 | 171 |
| 20 | 231 |